1.
# Rb2BaSbF, relaxed, DFT PBE-GGA
data_Rb2BaSbF
_space_group_name_H-M_alt 'P 4/m m m'
_space_group_IT_number 123
_space_group_name_Hall '-P 4 2'
_cell_length_a 7.323
_cell_length_b 7.323
_cell_length_c 4.768
_cell_angle_alpha 90.00
_cell_angle_beta 90.00
_cell_angle_gamma 90.00
loop_
_atom_site_label
_atom_site_type_symbol
_atom_site_fract_x
_atom_site_fract_y
_atom_site_fract_z
Rb1 Rb 0.000 0.500 0.000
Ba1 Ba 0.000 0.000 0.000
Sb1 Sb 0.500 0.500 0.500
F1 F 0.000 0.000 0.500
# E (Ry per atom): -0.1997
# Total moment (μB per atom): 0.00
# Formation energy (no corrections) (kJ/mol of formula units): -360.5


2.
# RbBa2SbF, relaxed, DFT PBE-GGA
data_RbBa2SbF
_space_group_name_H-M_alt 'P 4/m m m'
_space_group_IT_number 123
_space_group_name_Hall '-P 4 2'
_cell_length_a 5.595
_cell_length_b 5.595
_cell_length_c 5.382
_cell_angle_alpha 90.00
_cell_angle_beta 90.00
_cell_angle_gamma 90.00
loop_
_atom_site_label
_atom_site_type_symbol
_atom_site_fract_x
_atom_site_fract_y
_atom_site_fract_z
Rb1 Rb 0.000 0.000 0.000
Ba1 Ba 0.000 0.500 0.500
Sb1 Sb 0.500 0.500 0.000
F1 F 0.000 0.000 0.500
# E (Ry per atom): -0.2647
# Total moment (μB per atom): 0.00
# Formation energy (no corrections) (kJ/mol of formula units): -694.4


3.
# Rb2BaSbF, relaxed, DFT PBE-GGA
data_Rb2BaSbF
_space_group_name_H-M_alt 'P 4/m m m'
_space_group_IT_number 123
_space_group_name_Hall '-P 4 2'
_cell_length_a 5.414
_cell_length_b 5.414
_cell_length_c 5.871
_cell_angle_alpha 90.00
_cell_angle_beta 90.00
_cell_angle_gamma 90.00
loop_
_atom_site_label
_atom_site_type_symbol
_atom_site_fract_x
_atom_site_fract_y
_atom_site_fract_z
Rb1 Rb 0.000 0.500 0.000
Ba1 Ba 0.000 0.000 0.500
Sb1 Sb 0.500 0.500 0.500
F1 F 0.000 0.000 0.000
# E (Ry per atom): -0.2535
# Total moment (μB per atom): 0.00
# Formation energy (no corrections) (kJ/mol of formula units): -713.2


4.
# Rb2BaScF6, relaxed, DFT PBE-GGA
data_Rb2BaScF6
_space_group_name_H-M_alt 'P m m n'
_space_group_IT_number 59
_cell_length_a 6.201
_cell_length_b 9.162
_cell_length_c 7.507
_cell_angle_alpha 90.00
_cell_angle_beta 90.00
_cell_angle_gamma 90.00
loop_
_space_group_symop_operation_xyz
'x,y,z'
'-x,-y,-z'
'-x+1/2,-y+1/2,z'
'x+1/2,y+1/2,-z'
'x+1/2,-y,-z'
'-x+1/2,y,z'
'-x,y+1/2,-z'
'x,-y+1/2,z'
loop_
_atom_site_label
_atom_site_type_symbol
_atom_site_fract_x
_atom_site_fract_y
_atom_site_fract_z
Rb1 Rb 0.250 0.025 0.174
Ba1 Ba 0.250 0.250 0.675
Sc1 Sc 0.250 0.750 0.793
F1 F 0.011 0.250 0.372
F2 F 0.024 0.750 0.999
F3 F 0.250 0.524 0.800
# E (Ry per atom): -0.3956
# Total moment (μB per atom): 0.02
# Formation energy (no corrections) (kJ/mol of formula units): -3127.2


5.
# Rb2BaScF6, relaxed, DFT PBE-GGA
data_Rb2BaScF6
_space_group_name_H-M_alt 'F m -3 m'
_space_group_IT_number 225
_space_group_name_Hall '-F 4 2 3'
_cell_length_a 9.466
_cell_length_b 9.466
_cell_length_c 9.466
_cell_angle_alpha 90.00
_cell_angle_beta 90.00
_cell_angle_gamma 90.00
loop_
_atom_site_label
_atom_site_type_symbol
_atom_site_fract_x
_atom_site_fract_y
_atom_site_fract_z
Rb1 Rb 0.250 0.250 0.250
Ba1 Ba 0.000 0.000 0.000
Sc1 Sc 0.000 0.000 0.500
F1 F 0.000 0.000 0.278
# E (Ry per atom): -0.3935
# Total moment (μB per atom): 0.04
# Formation energy (no corrections) (kJ/mol of formula units): -3098.8


6.
# RbBaSeF, relaxed, DFT PBE-GGA
data_RbBaSeF
_space_group_name_H-M_alt 'R -3 m'
_space_group_IT_number 166
_space_group_name_Hall '-R 3 2"'
_cell_length_a 5.4794
_cell_length_b 5.4794
_cell_length_c 33.4322
_cell_angle_alpha 90.00
_cell_angle_beta 90.00
_cell_angle_gamma 120.00
loop_
_atom_site_label
_atom_site_type_symbol
_atom_site_fract_x
_atom_site_fract_y
_atom_site_fract_z
Rb1 Rb 0.0000 0.0000 0.1266
Ba1 Ba 0.0000 0.0000 0.2840
Se1 Se 0.0000 0.0000 0.3856
F1 F 0.0000 0.0000 0.2067
# E (Ry per atom): -0.3170
# Total moment (μB per atom): 0.00
# Formation energy (no corrections) (kJ/mol of formula units): -868.8


7.
# Rb2BaSiF6, relaxed, DFT PBE-GGA
data_Rb2BaSiF6
_space_group_name_H-M_alt 'F m -3 m'
_space_group_IT_number 225
_space_group_name_Hall '-F 4 2 3'
_cell_length_a 9.471
_cell_length_b 9.471
_cell_length_c 9.471
_cell_angle_alpha 90.00
_cell_angle_beta 90.00
_cell_angle_gamma 90.00
loop_
_atom_site_label
_atom_site_type_symbol
_atom_site_fract_x
_atom_site_fract_y
_atom_site_fract_z
Rb1 Rb 0.250 0.250 0.250
Ba1 Ba 0.000 0.000 0.000
Si1 Si 0.000 0.000 0.500
F1 F 0.000 0.000 0.270
# E (Ry per atom): -0.3510
# Total moment (μB per atom): 0.00
# Formation energy (no corrections) (kJ/mol of formula units): -2628.9


8.
# Rb2BaSmF8, relaxed, DFT PBE-GGA
data_Rb2BaSmF8
_space_group_name_H-M_alt 'I -4 m 2'
_space_group_IT_number 119
_space_group_name_Hall 'I -4 -2'
_cell_length_a 6.307
_cell_length_b 6.307
_cell_length_c 12.065
_cell_angle_alpha 90.00
_cell_angle_beta 90.00
_cell_angle_gamma 90.00
loop_
_atom_site_label
_atom_site_type_symbol
_atom_site_fract_x
_atom_site_fract_y
_atom_site_fract_z
Rb1 Rb 0.000 0.000 0.000
Rb2 Rb 0.000 0.500 0.250
Ba1 Ba 0.000 0.000 0.500
Sm1 Sm 0.000 0.500 0.750
F1 F 0.206 0.274 0.635
# E (Ry per atom): -0.3832
# Total moment (μB per atom): 0.09
# Formation energy (no corrections) (kJ/mol of formula units): -3764.0


9.
# Rb2BaSnF6, relaxed, DFT PBE-GGA
data_Rb2BaSnF6
_space_group_name_H-M_alt 'F m -3 m'
_space_group_IT_number 225
_space_group_name_Hall '-F 4 2 3'
_cell_length_a 9.857
_cell_length_b 9.857
_cell_length_c 9.857
_cell_angle_alpha 90.00
_cell_angle_beta 90.00
_cell_angle_gamma 90.00
loop_
_atom_site_label
_atom_site_type_symbol
_atom_site_fract_x
_atom_site_fract_y
_atom_site_fract_z
Rb1 Rb 0.250 0.250 0.250
Ba1 Ba 0.000 0.000 0.000
Sn1 Sn 0.000 0.000 0.500
F1 F 0.000 0.000 0.259
# E (Ry per atom): -0.3497
# Total moment (μB per atom): 0.00
# Formation energy (no corrections) (kJ/mol of formula units): -2748.4


10.
# RbBa2SnF, relaxed, DFT PBE-GGA
data_RbBa2SnF
_space_group_name_H-M_alt 'P 4/m m m'
_space_group_IT_number 123
_space_group_name_Hall '-P 4 2'
_cell_length_a 5.697
_cell_length_b 5.697
_cell_length_c 5.382
_cell_angle_alpha 90.00
_cell_angle_beta 90.00
_cell_angle_gamma 90.00
loop_
_atom_site_label
_atom_site_type_symbol
_atom_site_fract_x
_atom_site_fract_y
_atom_site_fract_z
Rb1 Rb 0.000 0.000 0.000
Ba1 Ba 0.000 0.500 0.500
Sn1 Sn 0.500 0.500 0.000
F1 F 0.000 0.000 0.500
# E (Ry per atom): -0.2549
# Total moment (μB per atom): 0.00
# Formation energy (no corrections) (kJ/mol of formula units): -641.8


11.
# Rb2BaSrF6, relaxed, DFT PBE-GGA
data_Rb2BaSrF6
_space_group_name_H-M_alt 'P 1 21/c 1'
_space_group_IT_number 14
_cell_length_a 6.730
_cell_length_b 6.919
_cell_length_c 11.702
_cell_angle_alpha 90.00
_cell_angle_beta 124.94
_cell_angle_gamma 90.00
loop_
_space_group_symop_operation_xyz
'x,y,z'
'-x,-y,-z'
'-x,y+1/2,-z+1/2'
'x,-y+1/2,z+1/2'
loop_
_atom_site_label
_atom_site_type_symbol
_atom_site_fract_x
_atom_site_fract_y
_atom_site_fract_z
Rb1 Rb 0.236 0.046 0.251
Ba1 Ba 0.500 0.000 0.000
Sr1 Sr 0.000 0.000 0.500
F1 F 0.135 0.214 0.940
F2 F 0.233 0.698 0.945
F3 F 0.347 0.048 0.741
# E (Ry per atom): -0.3716
# Total moment (μB per atom): 0.03
# Formation energy (no corrections) (kJ/mol of formula units): -3260.2


12.
# Rb2BaSrF, relaxed, DFT PBE-GGA
data_Rb2BaSrF
_space_group_name_H-M_alt 'P 4/m m m'
_space_group_IT_number 123
_space_group_name_Hall '-P 4 2'
_cell_length_a 7.476
_cell_length_b 7.476
_cell_length_c 5.091
_cell_angle_alpha 90.00
_cell_angle_beta 90.00
_cell_angle_gamma 90.00
loop_
_atom_site_label
_atom_site_type_symbol
_atom_site_fract_x
_atom_site_fract_y
_atom_site_fract_z
Rb1 Rb 0.000 0.500 0.000
Ba1 Ba 0.000 0.000 0.500
Sr1 Sr 0.500 0.500 0.500
F1 F 0.000 0.000 0.000
# E (Ry per atom): -0.1781
# Total moment (μB per atom): 0.00
# Formation energy (no corrections) (kJ/mol of formula units): -454.2